No. 1
First-principles (GGA-PBE) data for a relaxed structure of TaInSb2Te, as listed in the Alexandria database.

It has space group P4/mmm (No. 123), with a = 5.511 Å, b = 5.511 Å, c = 5.601 Å, α = 90.00°, β = 90.00° and γ = 90.00°. The inequivalent atoms are Ta at (0.000, 0.000, 0.000), In at (0.500, 0.500, 0.500), Sb at (0.000, 0.500, 0.500) and Te at (0.500, 0.500, 0.000).

The uncorrected formation energy is 1.558 eV/atom. The calculation puts the density of states at the Fermi level at 8.48 states/eV per cell. The magnetization comes out at 0.000 μB per atom. Its density is 6.51 g/cm3. Its energy above the lowest structure with this stoichiometry is 1085 meV/atom.

No. 2
First-principles (GGA-PBE) data for a relaxed structure of Tb5InSb4, as listed in the Alexandria database.

It has space group I4 (No. 79), with a = 9.857 Å, b = 9.857 Å, c = 6.211 Å, α = 90.00°, β = 90.00° and γ = 90.00°. The inequivalent atoms are Tb at (0.000, 0.000, 0.000), Tb at (0.104, 0.692, 0.501), In at (0.000, 0.000, 0.500) and Sb at (0.101, 0.701, 0.001).

The uncorrected formation energy is -0.921 eV/atom. The calculation puts the density of states at the Fermi level at 10.85 states/eV per cell. The magnetization comes out at 0.000 μB per atom. Its density is 7.68 g/cm3.

No. 3
First-principles (GGA-PBE) data for a relaxed structure of Tb3InSb, as listed in the Alexandria database.

It has space group Amm2 (No. 38), with a = 4.053 Å, b = 9.953 Å, c = 15.958 Å, α = 90.00°, β = 90.00° and γ = 90.00°. The inequivalent atoms are Tb at (0.000, 0.000, 0.000), Tb at (0.000, 0.000, 0.294), Tb at (0.500, 0.185, 0.534), Tb at (0.500, 0.186, 0.758), In at (0.000, 0.000, 0.646), In at (0.500, 0.000, 0.147) and Sb at (0.000, 0.249, 0.896).

The uncorrected formation energy is -0.410 eV/atom. The calculation puts the density of states at the Fermi level at 17.50 states/eV per cell. The magnetization comes out at 0.000 μB per atom. Its density is 7.36 g/cm3.

No. 4
First-principles (GGA-PBE) data for a relaxed structure of Tb5In2Sb2, as listed in the Alexandria database.

It has space group Cmce (No. 64), with a = 15.695 Å, b = 8.163 Å, c = 8.144 Å, α = 90.00°, β = 90.00° and γ = 90.00°. The inequivalent atoms are Tb at (0.000, 0.000, 0.000), Tb at (0.138, 0.171, 0.333), In at (0.000, 0.128, 0.627) and Sb at (0.203, 0.000, 0.000).

The uncorrected formation energy is -0.761 eV/atom. The calculation puts the density of states at the Fermi level at 26.62 states/eV per cell. The magnetization comes out at 0.000 μB per atom. Its density is 8.07 g/cm3.